Density functional theory data (PBE) for a relaxed AcIn2SnHg2 crystal.

```
AcIn2SnHg2
1.0
5.3277 0.0000 0.0000
0.0000 9.2122 0.0000
0.0000 0.0000 6.8549
Ac In Sn Hg
2 4 2 4
Direct
0.5000 0.5000 0.0000
0.0000 0.0000 0.5000
0.5000 0.1613 0.2251
0.0000 0.6613 0.2749
0.5000 0.8387 0.7749
0.0000 0.3387 0.7251
0.0000 0.0000 0.0000
0.5000 0.5000 0.5000
0.5000 0.8328 0.2416
0.5000 0.1672 0.7584
0.0000 0.6672 0.7416
0.0000 0.3328 0.2584
```

Results
The formation energy is -5.96 kcal/mol of atoms. The volume comes out at 28.0 A^3/atom. As for the space group: Pnnm.